1.
DFT (PBE) results for a geometry-optimized V3FeSe6 structure.

Geometry as CIF:
```
data_V3FeSe6
_chemical_formula_sum 'V18 Fe6 Se36'
_space_group_name_H-M_alt 'R -3'
_space_group_IT_number 148
_space_group_name_Hall '-R 3'
_cell_length_a 10.4236
_cell_length_b 10.4236
_cell_length_c 12.8790
_cell_angle_alpha 90.00
_cell_angle_beta 90.00
_cell_angle_gamma 120.00
loop_
_atom_site_label
_atom_site_type_symbol
_atom_site_fract_x
_atom_site_fract_y
_atom_site_fract_z
V1 V 0.0523 0.4436 0.3656
Fe1 Fe 0.0000 0.0000 0.0000
Fe2 Fe 0.0000 0.0000 0.5000
Se1 Se 0.0197 0.2085 0.8913
Se2 Se 0.0308 0.1875 0.3785
```

Values from the calculation:
- density of states at the Fermi level (states/eV per atom) = 0.99
- magnetic moment (μB per formula unit) = 6.654
- formation energy without anion corrections (eV per formula unit) = -4.326

---

2.
DFT (PBE) results for a geometry-optimized Ba2YW structure.

Geometry as CIF:
```
data_Ba2YW
_chemical_formula_sum 'Ba4 Y2 W2'
_space_group_name_H-M_alt 'I m m 2'
_space_group_IT_number 44
_cell_length_a 3.599
_cell_length_b 6.365
_cell_length_c 12.938
_cell_angle_alpha 90.00
_cell_angle_beta 90.00
_cell_angle_gamma 90.00
loop_
_space_group_symop_operation_xyz
'x,y,z'
'-x,-y,z'
'-x,y,z'
'x,-y,z'
'x+1/2,y+1/2,z+1/2'
'-x+1/2,-y+1/2,z+1/2'
'-x+1/2,y+1/2,z+1/2'
'x+1/2,-y+1/2,z+1/2'
loop_
_atom_site_label
_atom_site_type_symbol
_atom_site_fract_x
_atom_site_fract_y
_atom_site_fract_z
Ba1 Ba 0.000 0.000 0.000
Ba2 Ba 0.000 0.500 0.193
Y1 Y 0.000 0.000 0.382
W1 W 0.000 0.500 0.713
```

Values from the calculation:
- ΔE_f (eV per atom) = 0.936
- density of states at the Fermi level (states/eV per atom) = 1.45
- excess energy over the best structure of this formula in the dataset (eV/atom) = 0.190
- magnetic moment (μB per formula unit) = 1.153

---

3.
DFT (PBE) results for a geometry-optimized NpCuAu2 structure.

Geometry as CIF:
```
data_NpCuAu2
_chemical_formula_sum 'Np3 Cu3 Au6'
_space_group_name_H-M_alt 'R -3 m'
_space_group_IT_number 166
_space_group_name_Hall '-R 3 2"'
_cell_length_a 4.5024
_cell_length_b 4.5024
_cell_length_c 14.0768
_cell_angle_alpha 90.00
_cell_angle_beta 90.00
_cell_angle_gamma 120.00
loop_
_atom_site_label
_atom_site_type_symbol
_atom_site_fract_x
_atom_site_fract_y
_atom_site_fract_z
Np1 Np 0.0000 0.0000 0.0000
Cu1 Cu 0.0000 0.0000 0.5000
Au1 Au 0.0000 0.0000 0.2221
```

Values from the calculation:
- ΔE_f (eV per atom) = -0.033
- density of states at the Fermi level (states/eV per atom) = 3.25
- excess energy over the best structure of this formula in the dataset (eV/atom) = 0.032
- magnetic moment (μB per formula unit) = 4.236

---

4.
DFT (PBE) results for a geometry-optimized HPt6 structure.

Geometry as CIF:
```
data_HPt6
_chemical_formula_sum 'H4 Pt24'
_space_group_name_H-M_alt 'P n m a'
_space_group_IT_number 62
_cell_length_a 9.355
_cell_length_b 8.403
_cell_length_c 4.970
_cell_angle_alpha 90.00
_cell_angle_beta 90.00
_cell_angle_gamma 90.00
loop_
_space_group_symop_operation_xyz
'x,y,z'
'-x,-y,-z'
'-x+1/2,-y,z+1/2'
'x+1/2,y,-z+1/2'
'x+1/2,-y+1/2,-z+1/2'
'-x+1/2,y+1/2,z+1/2'
'-x,y+1/2,-z'
'x,-y+1/2,z'
loop_
_atom_site_label
_atom_site_type_symbol
_atom_site_fract_x
_atom_site_fract_y
_atom_site_fract_z
H1 H 0.189 0.250 0.107
Pt1 Pt 0.000 0.250 0.744
Pt2 Pt 0.002 0.583 0.751
Pt3 Pt 0.248 0.576 0.430
Pt4 Pt 0.248 0.750 0.952
```

Values from the calculation:
- density of states at the Fermi level (states/eV per atom) = 1.74
- magnetic moment (μB per formula unit) = 0.000
- raw total energy (eV/atom) = -5.585

---

5.
DFT (PBE) results for a geometry-optimized Ac5Co2Cu structure.

Geometry as CIF:
```
data_Ac5Co2Cu
_chemical_formula_sum 'Ac20 Co8 Cu4'
_space_group_name_H-M_alt 'C 1 2/c 1'
_space_group_IT_number 15
_cell_length_a 16.553
_cell_length_b 8.161
_cell_length_c 8.161
_cell_angle_alpha 90.00
_cell_angle_beta 119.47
_cell_angle_gamma 90.00
loop_
_space_group_symop_operation_xyz
'x,y,z'
'-x,-y,-z'
'-x,y,-z+1/2'
'x,-y,z+1/2'
'x+1/2,y+1/2,z'
'-x+1/2,-y+1/2,-z'
'-x+1/2,y+1/2,-z+1/2'
'x+1/2,-y+1/2,z+1/2'
loop_
_atom_site_label
_atom_site_type_symbol
_atom_site_fract_x
_atom_site_fract_y
_atom_site_fract_z
Ac1 Ac 0.116 0.088 0.028
Ac2 Ac 0.116 0.412 0.704
Ac3 Ac 0.250 0.250 0.500
Co1 Co 0.250 0.113 0.863
Cu1 Cu 0.000 0.250 0.250
```

Values from the calculation:
- ΔE_f (eV per atom) = 0.008
- density of states at the Fermi level (states/eV per atom) = 1.15
- magnetic moment (μB per formula unit) = 0.000

---

6.
DFT (PBE) results for a geometry-optimized CaTeS2O structure.

Geometry as CIF:
```
data_CaTeS2O
_chemical_formula_sum 'Ca1 Te1 S2 O1'
_space_group_name_H-M_alt 'P 4/m m m'
_space_group_IT_number 123
_space_group_name_Hall '-P 4 2'
_cell_length_a 5.304
_cell_length_b 5.304
_cell_length_c 4.086
_cell_angle_alpha 90.00
_cell_angle_beta 90.00
_cell_angle_gamma 90.00
loop_
_atom_site_label
_atom_site_type_symbol
_atom_site_fract_x
_atom_site_fract_y
_atom_site_fract_z
Ca1 Ca 0.000 0.000 0.000
Te1 Te 0.500 0.500 0.500
S1 S 0.000 0.500 0.000
O1 O 0.000 0.000 0.500
```

Values from the calculation:
- density of states at the Fermi level (states/eV per atom) = 1.39
- excess energy over the best structure of this formula in the dataset (eV/atom) = 0.000
- magnetic moment (μB per formula unit) = 0.000
- formation energy without anion corrections (eV per formula unit) = -0.253

---

7.
DFT (PBE) results for a geometry-optimized Ca2Ce4As3O2 structure.

Geometry as CIF:
```
data_Ca2Ce4As3O2
_chemical_formula_sum 'Ca4 Ce8 As6 O4'
_space_group_name_H-M_alt 'I 4/m m m'
_space_group_IT_number 139
_space_group_name_Hall '-I 4 2'
_cell_length_a 4.671
_cell_length_b 4.671
_cell_length_c 23.944
_cell_angle_alpha 90.00
_cell_angle_beta 90.00
_cell_angle_gamma 90.00
loop_
_atom_site_label
_atom_site_type_symbol
_atom_site_fract_x
_atom_site_fract_y
_atom_site_fract_z
Ca1 Ca 0.000 0.000 0.201
Ce1 Ce 0.000 0.500 0.081
As1 As 0.000 0.000 0.326
As2 As 0.000 0.000 0.500
O1 O 0.000 0.000 0.103
```

Values from the calculation:
- density of states at the Fermi level (states/eV per atom) = 1.99
- magnetic moment (μB per formula unit) = 3.842
- formation energy without anion corrections (eV per formula unit) = -19.020

---

8.
DFT (PBE) results for a geometry-optimized PmB2PtO8 structure.

Geometry as CIF:
```
data_PmB2PtO8
_chemical_formula_sum 'Pm1 B2 Pt1 O8'
_space_group_name_H-M_alt 'P -3 m 1'
_space_group_IT_number 164
_space_group_name_Hall '-P 3 2"'
_cell_length_a 4.9283
_cell_length_b 4.9283
_cell_length_c 6.8043
_cell_angle_alpha 90.00
_cell_angle_beta 90.00
_cell_angle_gamma 120.00
loop_
_atom_site_label
_atom_site_type_symbol
_atom_site_fract_x
_atom_site_fract_y
_atom_site_fract_z
Pm1 Pm 0.0000 0.0000 0.0000
B1 B 0.3333 0.6667 0.2485
Pt1 Pt 0.0000 0.0000 0.5000
O1 O 0.1685 0.3370 0.2997
O2 O 0.3333 0.6667 0.0321
```

Values from the calculation:
- density of states at the Fermi level (states/eV per atom) = 0.60
- magnetic moment (μB per formula unit) = 3.051
- formation energy without anion corrections (eV per formula unit) = -18.715